# meta-GGA SCAN Rb2AgIrF6, single point on PBEsol structure
# - formation energy without anion corrections (eV/atom) = -2.084
# - Fermi-level density of states (states/eV per atom) = 0.00
# - total DFT energy (no corrections) (eV for the cell shown) = -744.083
# - total magnetization (μB/f.u.) = 0.184
# - density (Mg/m³) = 5.910
data_Rb2AgIrF6
_chemical_formula_sum 'Rb8 Ag4 Ir4 F24'
_cell_length_a 8.696
_cell_length_b 8.696
_cell_length_c 8.696
_cell_angle_alpha 90.00
_cell_angle_beta 90.00
_cell_angle_gamma 90.00
_symmetry_space_group_name_H-M 'F m -3 m'
_symmetry_Int_Tables_number 225
_symmetry_space_group_name_Hall '-F 4 2 3'
loop_
_atom_site_label
_atom_site_type_symbol
_atom_site_fract_x
_atom_site_fract_y
_atom_site_fract_z
_atom_site_occupancy
Rb1 Rb 0.250 0.250 0.250 1
Ag1 Ag 0.000 0.000 0.000 1
Ir1 Ir 0.000 0.000 0.500 1
F1 F 0.000 0.000 0.268 1


# meta-GGA SCAN ScAgIr2F, single point on PBEsol structure
# - formation energy without anion corrections (eV/atom) = 0.734
# - Fermi-level density of states (states/eV per atom) = 0.96
# - total DFT energy (no corrections) (eV for the cell shown) = -187.671
# - total magnetization (μB/f.u.) = 0.905
# - density (Mg/m³) = 10.014
data_ScAgIr2F
_chemical_formula_sum 'Sc1 Ag1 Ir2 F1'
_cell_length_a 4.899
_cell_length_b 4.899
_cell_length_c 3.843
_cell_angle_alpha 90.00
_cell_angle_beta 90.00
_cell_angle_gamma 90.00
_symmetry_space_group_name_H-M 'P 4/m m m'
_symmetry_Int_Tables_number 123
_symmetry_space_group_name_Hall '-P 4 2'
loop_
_atom_site_label
_atom_site_type_symbol
_atom_site_fract_x
_atom_site_fract_y
_atom_site_fract_z
_atom_site_occupancy
Sc1 Sc 0.000 0.000 0.000 1
Ag1 Ag 0.500 0.500 0.500 1
Ir1 Ir 0.000 0.500 0.500 1
F1 F 0.500 0.500 0.000 1


# meta-GGA SCAN K3AgF, single point on PBEsol structure
# - energy relative to the lowest polymorph listed for this composition (kJ/mol of formula units) = 0
# - formation energy without anion corrections (eV/atom) = -1.090
# - Fermi-level density of states (states/eV per atom) = 0.49
# - total DFT energy (no corrections) (eV for the cell shown) = -65.344
# - total magnetization (μB/f.u.) = 0.076
# - density (Mg/m³) = 2.714
data_K3AgF
_chemical_formula_sum 'K3 Ag1 F1'
_cell_length_a 5.306
_cell_length_b 5.306
_cell_length_c 5.306
_cell_angle_alpha 90.00
_cell_angle_beta 90.00
_cell_angle_gamma 90.00
_symmetry_space_group_name_H-M 'P m -3 m'
_symmetry_Int_Tables_number 221
_symmetry_space_group_name_Hall '-P 4 2 3'
loop_
_atom_site_label
_atom_site_type_symbol
_atom_site_fract_x
_atom_site_fract_y
_atom_site_fract_z
_atom_site_occupancy
K1 K 0.000 0.000 0.500 1
Ag1 Ag 0.500 0.500 0.500 1
F1 F 0.000 0.000 0.000 1


Question: Among the records above, which one has the highest total DFT energy (no corrections)?
Answer: K3AgF